DFT (PBE) results for a geometry-optimized MnHg2Ru structure.

Cell: 5.9815 5.9815 5.9815 Å, 102.85 102.85 123.73°
Last column: nearest neighbours and their distance in Å.
Positions (direct):
Mn (0.0000, 0.0000, 0.0000)  4 Hg 2.73, 2 Ru 2.82
Mn (0.7500, 0.2500, 0.5000)  4 Hg 2.73, 2 Ru 2.82
Hg (0.1245, 0.6250, 0.9995)  2 Mn 2.73, 2 Ru 2.73, 2 Hg 2.82
Hg (0.3750, 0.3745, 0.4995)  2 Mn 2.73, 2 Ru 2.73, 2 Hg 2.82
Hg (0.6255, 0.1250, 0.0005)  2 Mn 2.73, 2 Ru 2.73, 2 Hg 2.82
Hg (0.8750, 0.8755, 0.5005)  2 Mn 2.73, 2 Ru 2.73, 2 Hg 2.82
Ru (0.2500, 0.7500, 0.5000)  4 Hg 2.73, 2 Mn 2.82
Ru (0.5000, 0.5000, 0.0000)  4 Hg 2.73, 2 Mn 2.82

Output
For the formation enthalpy at 0 K, the calculation gives 281 kJ/mol of formula units. For the density of states at the Fermi level, the calculation gives 0.5580 states/eV/atom. For the energy above the most stable polymorph in this dataset, the calculation gives 0.4537 eV per atom.

DFT (PBE) results for a geometry-optimized Mn3HgRu structure.

Cell: 4.8676 4.8676 4.8676 Å, 90.00 90.00 90.00°
Last column: nearest neighbours and their distance in Å.
Positions (direct):
Mn (0.0000, 0.0000, 0.5000)  2 Hg 2.43
Mn (0.0000, 0.5000, 0.0000)  2 Hg 2.43
Mn (0.5000, 0.0000, 0.0000)  2 Hg 2.43
Hg (0.0000, 0.0000, 0.0000)  6 Mn 2.43
Ru (0.5000, 0.5000, 0.5000)  12 Mn 3.44

Output
For the formation enthalpy at 0 K, the calculation gives 857 kJ/mol of formula units. For the density of states at the Fermi level, the calculation gives 1.3156 states/eV/atom. For the energy above the most stable polymorph in this dataset, the calculation gives 0.7528 eV per atom.

DFT (PBE) results for a geometry-optimized Mn2HgRu2 structure.

Cell: 7.3486 7.3486 2.8304 Å, 90.00 90.00 90.00°
Last column: nearest neighbours and their distance in Å.
Positions (direct):
Mn (0.1589, 0.3411, 0.0000)  6 Ru 2.57-2.59, 2 Mn 2.83
Mn (0.3411, 0.8411, 0.0000)  6 Ru 2.57-2.59, 2 Mn 2.83
Mn (0.6589, 0.1589, 0.0000)  6 Ru 2.57-2.59, 2 Mn 2.83
Mn (0.8411, 0.6589, 0.0000)  6 Ru 2.57-2.59, 2 Mn 2.83
Hg (0.0000, 0.0000, 0.5000)  2 Hg 2.83, 4 Ru 2.87, 8 Mn 3.11
Hg (0.5000, 0.5000, 0.5000)  2 Hg 2.83, 4 Ru 2.87, 8 Mn 3.11
Ru (0.1318, 0.6318, 0.5000)  6 Mn 2.57-2.59, 3 Ru 2.74-2.83, 2 Hg 2.87
Ru (0.3682, 0.1318, 0.5000)  6 Mn 2.57-2.59, 3 Ru 2.74-2.83, 2 Hg 2.87
Ru (0.6318, 0.8682, 0.5000)  6 Mn 2.57-2.59, 3 Ru 2.74-2.83, 2 Hg 2.87
Ru (0.8682, 0.3682, 0.5000)  6 Mn 2.57-2.59, 3 Ru 2.74-2.83, 2 Hg 2.87

Output
For the formation enthalpy at 0 K, the calculation gives 162 kJ/mol of formula units. For the density of states at the Fermi level, the calculation gives 1.1718 states/eV/atom. For the energy above the most stable polymorph in this dataset, the calculation gives 0.0000 eV per atom.